Record 1
LiCl2F | PBE | relaxed

It has space group Fm-3m (No. 225), with a = 6.486 Å, b = 6.486 Å, c = 6.486 Å, α = 90.00°, β = 90.00° and γ = 90.00°. The inequivalent atoms are Li at (0.000, 0.000, 0.000), Cl at (0.250, 0.250, 0.250) and F at (0.000, 0.000, 0.500).

For the calculated density, the calculation gives 2.358 g/cm³. The distance to the lowest polymorph of the same formula is 739 meV per atom. Its total energy is -9.5 eV per formula unit.



Record 2
LiClF4 | PBE | relaxed

It has space group Pmmm (No. 47), with a = 5.627 Å, b = 5.690 Å, c = 6.157 Å, α = 90.00°, β = 90.00° and γ = 90.00°. The inequivalent atoms are Li at (0.000, 0.000, 0.000), Li at (0.000, 0.500, 0.500), Cl at (0.000, 0.000, 0.500), Cl at (0.500, 0.000, 0.000), F at (0.223, 0.235, 0.500) and F at (0.263, 0.221, 0.000).

For the calculated density, the calculation gives 1.994 g/cm³. The distance to the lowest polymorph of the same formula is 0 meV per atom. Its total energy is -19.3 eV per formula unit.



Record 3
Li3ClF2 | PBE | relaxed

It has space group Imma (No. 74), with a = 5.357 Å, b = 7.915 Å, c = 7.765 Å, α = 90.00°, β = 90.00° and γ = 90.00°. The inequivalent atoms are Li at (0.229, 0.000, 0.000), Li at (0.250, 0.250, 0.250), Cl at (0.000, 0.250, 0.540) and F at (0.000, 0.080, 0.163).

For the calculated density, the calculation gives 1.902 g/cm³. The distance to the lowest polymorph of the same formula is 85 meV per atom. Its total energy is -26.1 eV per formula unit.



Record 4
LiClF5 | PBE | relaxed

It has space group P-1 (No. 2), with a = 5.200 Å, b = 5.987 Å, c = 7.051 Å, α = 98.45°, β = 103.59° and γ = 99.08°. The inequivalent atoms are Li at (0.000, 0.000, 0.000), Li at (0.000, 0.000, 0.500), Cl at (0.276, 0.698, 0.225), F at (0.184, 0.001, 0.282), F at (0.213, 0.743, 0.969), F at (0.293, 0.149, 0.732), F at (0.312, 0.671, 0.471) and F at (0.359, 0.441, 0.164).

For the calculated density, the calculation gives 2.206 g/cm³. Its total energy is -21.3 eV per formula unit.



Record 5
Li3ClF2 | PBE | relaxed

It has space group Immm (No. 71), with a = 3.414 Å, b = 3.921 Å, c = 10.498 Å, α = 90.00°, β = 90.00° and γ = 90.00°. The inequivalent atoms are Li at (0.000, 0.000, 0.000), Li at (0.000, 0.500, 0.211), Cl at (0.000, 0.000, 0.500) and F at (0.000, 0.000, 0.190).

For the calculated density, the calculation gives 2.228 g/cm³. The distance to the lowest polymorph of the same formula is 0 meV per atom. Its total energy is -26.6 eV per formula unit.



Record 6
LiCl2F | PBE | relaxed

It has space group I-42d (No. 122), with a = 4.265 Å, b = 4.265 Å, c = 20.037 Å, α = 90.00°, β = 90.00° and γ = 90.00°. The inequivalent atoms are Li at (0.000, 0.000, 0.000), Cl at (0.072, 0.750, 0.125) and F at (0.000, 0.000, 0.500).

For the calculated density, the calculation gives 1.764 g/cm³. The distance to the lowest polymorph of the same formula is 474 meV per atom. Its total energy is -10.5 eV per formula unit.



Which ΔE_f (raw) belongs to each record? In order, -497, -1343, -2465, -1162, -2551, -763 meV per atom.